1.
This record from Alexandria describes Dy8Ho2In after structural relaxation. The functional is GGA-PBE.

Structure (CIF):
```
data_Dy8Ho2In
_cell_length_a 17.111
_cell_length_b 5.323
_cell_length_c 8.282
_cell_angle_alpha 90.00
_cell_angle_beta 116.00
_cell_angle_gamma 90.00
_symmetry_space_group_name_H-M 'C 1 2/m 1'
_symmetry_Int_Tables_number 12
_symmetry_space_group_name_Hall '-C 2y'
loop_
_atom_site_label
_atom_site_type_symbol
_atom_site_fract_x
_atom_site_fract_y
_atom_site_fract_z
_atom_site_occupancy
Dy1 Dy 0.020 0.000 0.228 1
Dy2 Dy 0.105 0.500 0.933 1
Dy3 Dy 0.159 0.000 0.702 1
Dy4 Dy 0.169 0.500 0.405 1
Ho1 Ho 0.200 0.000 0.149 1
In1 In 0.000 0.500 0.500 1
```

E = -4.4322 eV per atom
size of the total moment = 0.000 μB per cell
energy of formation from the pure elements = -0.004 eV per atom

=====

2.
This record from Alexandria describes Dy5Ho2In5 after structural relaxation. The functional is GGA-PBE.

Structure (CIF):
```
data_Dy5Ho2In5
_cell_length_a 11.891
_cell_length_b 5.088
_cell_length_c 11.868
_cell_angle_alpha 90.00
_cell_angle_beta 109.96
_cell_angle_gamma 90.00
_symmetry_space_group_name_H-M 'C 1 2/m 1'
_symmetry_Int_Tables_number 12
_symmetry_space_group_name_Hall '-C 2y'
loop_
_atom_site_label
_atom_site_type_symbol
_atom_site_fract_x
_atom_site_fract_y
_atom_site_fract_z
_atom_site_occupancy
Dy1 Dy 0.000 0.000 0.000 1
Dy2 Dy 0.133 0.000 0.776 1
Dy3 Dy 0.152 0.000 0.501 1
Ho1 Ho 0.074 0.500 0.258 1
In1 In 0.000 0.500 0.500 1
In2 In 0.167 0.500 0.965 1
In3 In 0.236 0.000 0.276 1
```

E = -4.1280 eV per atom
size of the total moment = 0.001 μB per cell
energy of formation from the pure elements = -0.306 eV per atom

=====

3.
This record from Alexandria describes Dy3Ho4In after structural relaxation. The functional is GGA-PBE.

Structure (CIF):
```
data_Dy3Ho4In
_cell_length_a 11.148
_cell_length_b 6.994
_cell_length_c 6.135
_cell_angle_alpha 90.00
_cell_angle_beta 90.00
_cell_angle_gamma 90.00
_symmetry_space_group_name_H-M 'P m n 21'
_symmetry_Int_Tables_number 31
_symmetry_space_group_name_Hall 'P 2ac -2'
loop_
_atom_site_label
_atom_site_type_symbol
_atom_site_fract_x
_atom_site_fract_y
_atom_site_fract_z
_atom_site_occupancy
Dy1 Dy 0.000 0.129 0.000 1
Dy2 Dy 0.242 0.116 0.337 1
Ho1 Ho 0.000 0.374 0.531 1
Ho2 Ho 0.000 0.631 0.005 1
Ho3 Ho 0.239 0.626 0.357 1
In1 In 0.000 0.875 0.515 1
```

E = -4.4674 eV per atom
relative energy among the computed polymorphs = 5 meV per atom
size of the total moment = 0.000 μB per cell
energy of formation from the pure elements = -0.110 eV per atom